1.
PBE NdMn2Si3, relaxed; E_form (uncorrected) = -0.520 eV/atom; density of states at the Fermi level = 7.19 states/eV per cell; final energy = -7.083 eV per atom
1.0
-2.862 -3.761 2.010
4.880 -2.086 3.045
-2.649 4.029 3.767
Nd Mn Si
2 4 6
Cartesian
0.035 -0.286 2.796
-0.667 -1.532 6.026
-1.157 2.817 3.624
3.388 -0.875 3.188
-2.588 0.936 4.629
1.957 -2.755 4.193
-1.991 -2.685 1.984
-2.955 -1.110 3.557
1.359 0.866 6.838
-0.085 -3.441 3.282
2.324 -0.709 5.265
-0.546 1.622 5.540

2.
PBE Mg2TlAg, relaxed; density of states at the Fermi level = 1.70 states/eV per cell; final energy = -2.150 eV per atom; calculated formation energy = -0.049 eV per atom
1.0
3.277 0.000 0.000
1.639 2.838 0.000
1.639 0.946 9.569
Tl Mg Ag
1 2 1
Cartesian
3.277 1.892 4.780
1.639 0.946 7.402
1.639 0.946 2.168
3.277 1.892 0.005

3.
PBE Ta5Ag, relaxed; density of states at the Fermi level = 6.22 states/eV per cell; final energy = -9.918 eV per atom; calculated formation energy = 0.435 eV per atom
1.0
-3.803 -3.342 -2.021
-4.206 -1.538 3.107
-5.003 1.887 -1.058
Ta Ag
5 1
Cartesian
-9.759 -2.245 0.021
-6.777 -2.773 -0.984
-7.368 -0.200 -0.510
-6.975 -1.885 1.540
-4.905 -1.128 0.011
0.000 0.000 0.000

4.
PBE LiLuThNb, relaxed; density of states at the Fermi level = 7.93 states/eV per cell; final energy = -5.773 eV per atom; calculated formation energy = 0.209 eV per atom
1.0
-1.297 -3.186 3.758
3.263 -0.914 3.804
-0.951 1.816 4.664
Th Li Lu Nb
1 1 1 1
Cartesian
0.508 -1.142 6.113
0.762 -1.713 9.170
0.000 0.000 0.000
0.254 -0.571 3.057

5.
PBE NaHfSbTe2, relaxed; E_form (uncorrected) = -0.311 eV/atom; density of states at the Fermi level = 4.40 states/eV per cell; final energy = -4.646 eV per atom
1.0
-2.769 -2.453 -4.236
1.079 -5.053 2.221
-4.736 0.279 2.934
Hf Na Te Sb
1 1 2 1
Cartesian
0.000 0.000 0.000
-3.213 -3.614 0.460
0.539 -2.527 1.111
-1.385 -1.227 -2.118
-2.368 0.140 1.467

6.
PBE Ce5Pb2C2, relaxed; density of states at the Fermi level = 21.24 states/eV per cell; final energy = -6.412 eV per atom; calculated formation energy = -0.242 eV per atom
1.0
-0.026 -4.704 1.378
-1.227 -1.328 -4.556
9.667 -0.752 -2.385
Ce Pb C
5 2 2
Cartesian
1.543 -0.832 -2.810
2.144 -2.520 0.157
6.897 -1.248 -4.131
7.497 -2.936 -1.164
4.207 -3.392 -2.781
4.833 -0.376 -1.192
0.000 0.000 0.000
1.958 -3.217 -2.226
6.456 -3.567 -3.336

7.
PBE TlAs2Ru2, relaxed; density of states at the Fermi level = 2.96 states/eV per cell; final energy = -5.904 eV per atom; calculated formation energy = 0.140 eV per atom
1.0
3.942 0.000 0.000
0.000 3.942 0.000
1.971 1.971 5.957
Tl Ru As
1 2 2
Cartesian
0.000 0.000 0.000
1.971 1.971 1.505
3.942 3.942 4.452
3.942 1.971 2.979
1.971 3.942 2.979

8.
PBE BaSb2Pt2, relaxed; E_form (uncorrected) = -0.356 eV/atom; density of states at the Fermi level = 8.63 states/eV per cell; final energy = -4.806 eV per atom
1.0
8.235 0.000 0.000
0.000 8.235 0.000
0.000 0.000 3.591
Pt Ba Sb
4 2 4
Cartesian
7.243 5.109 0.000
0.992 3.126 0.000
5.109 0.992 0.000
3.126 7.243 0.000
0.000 0.000 0.000
4.117 4.117 0.000
1.269 5.386 1.796
2.848 1.269 1.796
5.386 6.966 1.796
6.966 2.848 1.796

9.
PBE K3AlCo, relaxed; density of states at the Fermi level = 12.81 states/eV per cell; final energy = -1.750 eV per atom; calculated formation energy = 1.078 eV per atom
1.0
6.123 0.000 0.000
0.000 6.123 0.000
0.000 0.000 6.123
K Al Co
3 1 1
Cartesian
3.062 0.000 0.000
0.000 3.062 0.000
0.000 0.000 3.062
3.062 3.062 3.062
0.000 0.000 0.000

10.
PBE SrMgAg3, relaxed; density of states at the Fermi level = 2.19 states/eV per cell; final energy = -2.332 eV per atom; calculated formation energy = 0.034 eV per atom
1.0
5.117 0.000 0.000
0.000 5.117 0.000
0.000 0.000 5.117
Mg Ag Sr
1 3 1
Cartesian
0.000 0.000 0.000
0.000 0.000 2.559
0.000 2.559 0.000
2.559 0.000 0.000
2.559 2.559 2.559

11.
PBE Sr2CdTe, relaxed; E_form (uncorrected) = -0.706 eV/atom; density of states at the Fermi level = 4.92 states/eV per cell; final energy = -2.561 eV per atom
1.0
-0.991 -5.405 1.862
-3.583 -3.475 -2.957
2.124 -4.520 -2.952
Sr Cd Te
2 1 1
Cartesian
-1.838 -10.050 -3.036
-0.613 -3.350 -1.012
0.000 0.000 0.000
-1.225 -6.700 -2.024

12.
PBE PuGa3NiRh, relaxed; density of states at the Fermi level = 28.11 states/eV per cell; final energy = -6.376 eV per atom; calculated formation energy = -0.285 eV per atom
1.0
5.622 0.000 0.000
0.000 7.584 0.000
0.000 -3.792 5.354
Ni Ga Pu Rh
2 6 2 2
Cartesian
1.406 3.792 4.974
4.217 0.000 0.380
0.000 5.669 0.000
0.000 1.915 0.000
2.811 5.669 0.000
2.811 1.915 0.000
4.217 3.792 3.395
1.406 0.000 1.959
1.406 3.792 2.254
4.217 0.000 3.100
1.406 0.000 4.413
4.217 3.792 0.940

13.
PBE DyPuFe10, relaxed; density of states at the Fermi level = 18.00 states/eV per cell; final energy = -8.645 eV per atom; calculated formation energy = -0.015 eV per atom
1.0
4.003 0.000 0.000
0.000 4.975 0.000
0.000 0.000 8.567
Fe Dy Pu
10 1 1
Cartesian
2.002 3.746 2.120
0.000 0.000 5.667
2.002 1.229 2.120
2.002 1.229 6.447
0.000 0.000 2.900
2.002 0.000 4.284
0.000 2.488 7.066
0.000 2.488 1.501
2.002 3.746 6.447
2.002 2.488 0.000
0.000 0.000 0.000
0.000 2.488 4.284

14.
PBE Rb2Ge2H5, relaxed; density of states at the Fermi level = 2.03 states/eV per cell; final energy = -2.974 eV per atom
1.0
4.956 0.000 0.000
-2.478 6.913 -0.082
0.000 0.035 5.595
H Ge Rb
5 2 2
Cartesian
2.478 4.894 2.918
2.478 4.374 5.291
0.000 2.574 0.222
0.000 0.000 0.000
0.000 2.054 2.595
0.000 1.320 1.189
2.478 5.629 4.324
2.478 1.742 4.113
0.000 5.206 1.399

15.
PBE NiAg2Cl, relaxed; E_form (uncorrected) = 0.438 eV/atom; density of states at the Fermi level = 6.12 states/eV per cell; final energy = -2.894 eV per atom
1.0
7.481 0.000 0.000
0.000 7.481 0.000
3.740 3.740 2.673
Ag Ni Cl
4 2 2
Cartesian
9.351 9.502 2.005
5.610 5.459 2.005
5.762 1.870 0.668
1.719 5.610 0.668
7.481 3.740 1.336
0.000 0.000 0.000
3.740 3.740 0.000
3.740 7.481 1.336

16.
PBE La2Sm6Dy3Sc, relaxed; density of states at the Fermi level = 17.27 states/eV per cell; final energy = -4.829 eV per atom; calculated formation energy = 0.030 eV per atom
1.0
6.228 -0.001 0.000
-3.114 5.394 0.000
-1.046 -1.812 11.751
Sm La Dy Sc
6 2 3 1
Cartesian
2.045 -0.008 2.965
-0.015 -0.026 8.779
0.023 3.589 8.787
2.083 3.607 2.973
3.097 1.813 8.787
-1.029 1.768 2.965
3.113 1.798 0.000
0.001 3.595 0.000
-2.084 3.592 5.876
4.153 -0.011 5.876
1.034 1.790 5.876
0.000 0.000 0.000

17.
PBE Sm2Dy7Ho2, relaxed; density of states at the Fermi level = 17.54 states/eV per cell; final energy = -4.502 eV per atom; calculated formation energy = 0.117 eV per atom
1.0
-1.078 8.581 0.809
-4.448 -1.036 -4.605
-3.961 -1.858 4.786
Dy Sm Ho
7 2 2
Cartesian
-4.002 4.386 0.592
-5.485 1.301 0.398
-7.046 4.087 -0.999
-2.617 1.899 -1.420
-2.441 1.600 1.989
-0.539 4.290 0.404
-6.869 3.788 2.410
-5.197 6.988 2.565
-4.290 -1.301 -1.575
-7.260 -1.652 0.231
-2.227 7.339 0.759

18.
PBE Th2GeH3, relaxed; density of states at the Fermi level = 2.34 states/eV per cell; final energy = -5.462 eV per atom
1.0
-3.939 -0.010 0.657
-0.727 1.659 7.805
-1.412 6.890 3.776
Ge H Th
2 6 4
Cartesian
-2.341 7.376 10.356
-3.737 1.163 1.881
-2.841 6.825 7.350
-2.599 4.788 8.767
-3.238 1.714 4.887
-1.126 3.333 5.438
-3.479 3.751 3.470
-4.952 5.206 6.799
-2.877 2.847 7.068
-1.469 2.448 3.370
-3.201 5.692 5.169
-4.610 6.091 8.867

19.
PBE NaLi4Ag2, relaxed; density of states at the Fermi level = 3.21 states/eV per cell; final energy = -2.120 eV per atom; calculated formation energy = -0.023 eV per atom
1.0
-3.352 -1.416 -0.994
0.795 -3.185 1.857
-2.888 6.206 8.050
Ag Li Na
2 4 1
Cartesian
-2.479 -1.175 2.877
-2.965 2.779 6.036
-3.759 1.244 3.743
-4.272 0.506 6.527
-1.685 0.360 5.169
-1.172 1.099 2.386
0.000 0.000 0.000

20.
PBE Ac2ErCdSe5, relaxed; E_form (uncorrected) = -1.640 eV/atom; density of states at the Fermi level = 2.92 states/eV per cell; final energy = -5.098 eV per atom
1.0
-3.169 0.222 -2.806
-4.304 -2.728 7.845
-1.986 12.406 3.224
Se Ac Cd Er
10 4 2 2
Cartesian
-5.524 9.783 3.811
-2.191 3.396 -0.458
-0.721 0.610 0.862
-4.369 2.837 5.158
-4.202 -1.845 4.599
-4.713 6.707 5.853
-4.397 1.019 1.845
-4.270 5.584 2.063
-8.023 4.824 6.240
-7.337 6.939 8.833
-7.493 8.246 5.912
-2.741 7.907 3.721
-2.203 3.138 2.736
-6.466 0.422 4.134
-6.280 3.240 7.347
-3.988 11.717 2.230
-6.119 4.905 4.096
-2.396 -0.900 2.634